Entry 1:
Below is a relaxed La4OsAuCl2 crystal, with properties calculated at the PBE-GGA level.

Values from the calculation:
Its raw formation energy is -1.089 eV/atom.

Geometry as POSCAR:
```
La4OsAuCl2
1.0
7.428 0.000 0.000
0.000 4.259 0.000
-2.462 0.000 7.592
La Os Au Cl
4 1 1 2
Direct
0.223 0.000 0.209
0.237 0.500 0.789
0.763 0.500 0.211
0.777 0.000 0.791
0.000 0.500 0.000
0.500 0.000 0.000
0.000 0.000 0.500
0.500 0.500 0.500
```


Entry 2:
Below is a relaxed La8Os3AuCl4 crystal, with properties calculated at the PBE-GGA level.

Values from the calculation:
Its raw formation energy is -1.028 eV/atom.

Geometry as POSCAR:
```
La8Os3AuCl4
1.0
4.216 2.434 7.627
-4.216 2.434 7.627
0.000 -4.868 7.627
La Os Au Cl
8 3 1 4
Direct
0.215 0.745 0.745
0.236 0.236 0.236
0.255 0.255 0.785
0.255 0.785 0.255
0.745 0.215 0.745
0.745 0.745 0.215
0.764 0.764 0.764
0.785 0.255 0.255
0.000 0.000 0.500
0.000 0.500 0.000
0.500 0.000 0.000
0.500 0.500 0.500
0.000 0.000 0.000
0.000 0.500 0.500
0.500 0.000 0.500
0.500 0.500 0.000
```


Entry 3:
Below is a relaxed LaP2AuCl crystal, with properties calculated at the PBE-GGA level.

Values from the calculation:
Its raw formation energy is 0.394 eV/atom. For the energy relative to the lowest polymorph listed for this composition, the calculation gives 316 kJ/mol of formula units.

Geometry as POSCAR:
```
LaP2AuCl
1.0
5.723 0.000 0.000
0.000 5.723 0.000
0.000 0.000 5.381
La P Au Cl
1 2 1 1
Direct
0.000 0.000 0.000
0.000 0.500 0.000
0.500 0.000 0.000
0.500 0.500 0.500
0.000 0.000 0.500
```


Entry 4:
Below is a relaxed LaPAuCl2 crystal, with properties calculated at the PBE-GGA level.

Values from the calculation:
Its raw formation energy is -0.537 eV/atom. For the energy relative to the lowest polymorph listed for this composition, the calculation gives 0 kJ/mol of formula units.

Geometry as POSCAR:
```
LaPAuCl2
1.0
4.928 0.000 0.000
0.000 4.928 0.000
0.000 0.000 5.110
La P Au Cl
1 1 1 2
Direct
0.000 0.000 0.000
0.500 0.500 0.000
0.500 0.500 0.500
0.000 0.500 0.500
0.500 0.000 0.500
```


Entry 5:
Below is a relaxed La8P3AuCl4 crystal, with properties calculated at the PBE-GGA level.

Values from the calculation:
Its raw formation energy is -1.560 eV/atom.

Geometry as POSCAR:
```
La8P3AuCl4
1.0
4.269 2.465 6.876
-4.269 2.465 6.876
0.000 -4.929 6.876
La P Au Cl
8 3 1 4
Direct
0.233 0.753 0.753
0.242 0.242 0.242
0.247 0.247 0.767
0.247 0.767 0.247
0.753 0.233 0.753
0.753 0.753 0.233
0.758 0.758 0.758
0.767 0.247 0.247
0.000 0.000 0.500
0.000 0.500 0.000
0.500 0.000 0.000
0.500 0.500 0.500
0.000 0.000 0.000
0.000 0.500 0.500
0.500 0.000 0.500
0.500 0.500 0.000
```


Entry 6:
Below is a relaxed LaPAuCl2 crystal, with properties calculated at the PBE-GGA level.

Values from the calculation:
Its raw formation energy is -0.500 eV/atom. For the energy relative to the lowest polymorph listed for this composition, the calculation gives 18 kJ/mol of formula units.

Geometry as POSCAR:
```
LaPAuCl2
1.0
5.410 0.000 0.000
0.000 5.410 0.000
0.000 0.000 6.134
La P Au Cl
1 1 1 2
Direct
0.000 0.000 0.000
0.000 0.000 0.500
0.500 0.500 0.500
0.000 0.500 0.000
0.500 0.000 0.000
```


Entry 7:
Below is a relaxed LaP2AuCl crystal, with properties calculated at the PBE-GGA level.

Values from the calculation:
Its raw formation energy is -0.260 eV/atom. For the energy relative to the lowest polymorph listed for this composition, the calculation gives 0 kJ/mol of formula units.

Geometry as POSCAR:
```
LaP2AuCl
1.0
4.829 0.000 0.000
0.000 4.829 0.000
0.000 0.000 5.079
La P Au Cl
1 2 1 1
Direct
0.000 0.000 0.000
0.000 0.500 0.500
0.500 0.000 0.500
0.500 0.500 0.500
0.500 0.500 0.000
```


Entry 8:
Below is a relaxed La4PdAuCl2 crystal, with properties calculated at the PBE-GGA level.

Values from the calculation:
Its raw formation energy is -1.170 eV/atom.

Geometry as POSCAR:
```
La4PdAuCl2
1.0
7.310 0.000 0.000
0.000 4.353 0.000
-2.616 0.000 7.112
La Pd Au Cl
4 1 1 2
Direct
0.245 0.000 0.242
0.251 0.500 0.757
0.749 0.500 0.243
0.755 0.000 0.758
0.000 0.500 0.000
0.000 0.000 0.500
0.500 0.000 0.000
0.500 0.500 0.500
```


Entry 9:
Below is a relaxed La8Pt3AuCl4 crystal, with properties calculated at the PBE-GGA level.

Values from the calculation:
Its raw formation energy is -1.366 eV/atom.

Geometry as POSCAR:
```
La8Pt3AuCl4
1.0
4.284 2.474 7.448
-4.284 2.474 7.448
0.000 -4.947 7.448
La Pt Au Cl
8 3 1 4
Direct
0.231 0.744 0.744
0.239 0.239 0.239
0.256 0.256 0.769
0.256 0.769 0.256
0.744 0.231 0.744
0.744 0.744 0.231
0.761 0.761 0.761
0.769 0.256 0.256
0.000 0.000 0.500
0.000 0.500 0.000
0.500 0.000 0.000
0.500 0.500 0.500
0.000 0.000 0.000
0.000 0.500 0.500
0.500 0.000 0.500
0.500 0.500 0.000
```


Entry 10:
Below is a relaxed La3PtAuCl crystal, with properties calculated at the PBE-GGA level.

Values from the calculation:
Its raw formation energy is -1.085 eV/atom.

Geometry as POSCAR:
```
La3PtAuCl
1.0
8.340 0.000 0.000
0.000 4.366 0.000
-2.207 0.000 9.575
La Pt Au Cl
6 2 2 2
Direct
0.066 0.250 0.339
0.206 0.250 0.979
0.409 0.750 0.630
0.591 0.250 0.370
0.794 0.750 0.021
0.934 0.750 0.661
0.173 0.250 0.648
0.827 0.750 0.352
0.294 0.750 0.265
0.706 0.250 0.735
0.397 0.750 0.913
0.603 0.250 0.087
```


Entry 11:
Below is a relaxed La6Pt2AuCl3 crystal, with properties calculated at the PBE-GGA level.

Values from the calculation:
Its raw formation energy is -1.343 eV/atom.

Geometry as POSCAR:
```
La6Pt2AuCl3
1.0
3.726 -6.449 0.000
3.726 6.449 0.000
-2.488 0.000 7.340
La Pt Au Cl
6 2 1 3
Direct
0.079 0.425 0.777
0.228 0.228 0.222
0.425 0.079 0.777
0.575 0.921 0.223
0.772 0.772 0.778
0.921 0.575 0.223
0.167 0.833 0.000
0.833 0.167 0.000
0.500 0.500 0.000
0.000 0.000 0.500
0.337 0.663 0.500
0.663 0.337 0.500
```


Entry 12:
Below is a relaxed Rb2LaAuCl6 crystal, with properties calculated at the PBE-GGA level.

Values from the calculation:
Its raw formation energy is -1.687 eV/atom.

Geometry as POSCAR:
```
Rb2LaAuCl6
1.0
0.000 5.514 5.514
5.514 0.000 5.514
5.514 5.514 0.000
Rb La Au Cl
2 1 1 6
Direct
0.250 0.250 0.250
0.750 0.750 0.750
0.000 0.000 0.000
0.500 0.500 0.500
0.251 0.251 0.749
0.251 0.749 0.251
0.251 0.749 0.749
0.749 0.251 0.251
0.749 0.251 0.749
0.749 0.749 0.251
```


The calculation returns the following final energy values, one per record and in order: -46.624, -100.226, -18.900, -19.994, -91.268, -19.808, -22.170, -41.234, -90.057, -64.920, -66.575, -38.086 eV/cell.